Compound: Ni3PN
Source: Alexandria
Functional: PBE
Structure: relaxed

Unit cell a=4.1142 b=4.1142 c=4.1142 alpha=90.00 beta=90.00 gamma=90.00
Sites, in units of the cell vectors:
Ni  0.0000  0.0000  0.5000
Ni  0.0000  0.5000  0.0000
Ni  0.5000  0.0000  0.0000
P  0.0000  0.0000  0.0000
N  0.5000  0.5000  0.5000

Values from the calculation:
Distance to the lowest polymorph of the same formula ... 5.29 eV per formula unit
Theoretical density ... 5.271 g/cm³
Energy relative to the elements, uncorrected ... 111 kJ/mol of atoms


Compound: CsScTaO4
Source: Alexandria
Functional: PBE
Structure: relaxed

Unit cell a=5.8751 b=6.0676 c=8.3303 alpha=90.00 beta=103.01 gamma=90.00
Sites, in units of the cell vectors:
Cs  0.1517  0.2500  0.1233
Cs  0.8483  0.7500  0.8767
Sc  0.1545  0.7500  0.4701
Sc  0.8455  0.2500  0.5299
Ta  0.3872  0.2500  0.6472
Ta  0.6128  0.7500  0.3528
O  0.1647  0.0221  0.6375
O  0.1647  0.4779  0.6375
O  0.2696  0.7500  0.2593
O  0.4838  0.2500  0.4432
O  0.5162  0.7500  0.5568
O  0.7304  0.2500  0.7407
O  0.8353  0.5221  0.3625
O  0.8353  0.9779  0.3625

Values from the calculation:
Theoretical density ... 4.853 g/cm³
Energy relative to the elements, uncorrected ... -244 kJ/mol of atoms


Compound: ReAsRu2
Source: Alexandria
Functional: PBE
Structure: relaxed

Unit cell a=8.5843 b=8.5843 c=8.5843 alpha=18.96 beta=18.96 gamma=18.96
Sites, in units of the cell vectors:
Re  0.0000  0.0000  0.0000
As  0.5000  0.5000  0.5000
Ru  0.2482  0.2482  0.2482
Ru  0.7518  0.7518  0.7518

Values from the calculation:
Theoretical density ... 13.188 g/cm³
Energy of formation from the pure elements ... 0.090 eV/atom


Compound: Pm3CdRh
Source: Alexandria
Functional: PBE
Structure: relaxed

Unit cell a=8.4100 b=8.4100 c=10.6169 alpha=123.89 beta=123.89 gamma=27.88
Sites, in units of the cell vectors:
Pm  0.0868  0.0868  0.4520
Pm  0.3304  0.3304  0.1979
Pm  0.3634  0.3634  0.7832
Pm  0.6366  0.6366  0.2168
Pm  0.6696  0.6696  0.8021
Pm  0.9132  0.9132  0.5480
Cd  0.0698  0.0698  0.9252
Cd  0.9302  0.9302  0.0748
Rh  0.2679  0.2679  0.4162
Rh  0.7321  0.7321  0.5838

Values from the calculation:
Distance to the lowest polymorph of the same formula ... 0.00 eV per formula unit
Theoretical density ... 7.514 g/cm³
Energy of formation from the pure elements ... -0.391 eV/atom